The following is a PBE calculation of Zr3Cd after structural relaxation, from OQMD via LeMat-Bulk.

Summary:
total magnetization = 0.0 μB/cell
formation energy = -82 meV per atom

abc: 3.167 3.167 9.036
angles: 90.00 90.00 90.00
Atoms (fractional coordinates):
Zr1 0.000 0.000 0.000
Zr2 0.000 0.000 0.499
Zr3 0.500 0.500 0.249
Cd1 0.500 0.500 0.749